No. 1
{"formula": "Er6Ti4Al43", "functional": "GGA-PBE", "state": "optimized geometry", "spacegroup": "P6_3/mcm (193)", "crystal_system": "hexagonal", "rho_g_cm3": 4.16, "energy_ev_per_atom": -4.48, "lattice_angstrom": [[-10.515, 0.657, -3.391], [2.289, -0.886, 10.792], [0.682, 17.656, 1.305]], "species": ["Al", "Al", "Al", "Al", "Al", "Al", "Al", "Ti", "Ti", "Er", "Er", "Al", "Al", "Al", "Al", "Al", "Al", "Al", "Al", "Al", "Al", "Al", "Er", "Al", "Al", "Al", "Al", "Al", "Er", "Al", "Al", "Al", "Al", "Al", "Al", "Al", "Al", "Al", "Al", "Er", "Al", "Al", "Al", "Al", "Al", "Al", "Al", "Al", "Ti", "Al", "Al", "Er", "Al", "Al", "Al", "Al", "Al", "Al", "Al", "Al", "Al", "Al", "Al", "Al", "Er", "Al", "Al", "Al", "Al", "Al", "Er", "Al", "Er", "Al", "Al", "Al", "Al", "Al", "Ti", "Al", "Al", "Al", "Er", "Al", "Al", "Al", "Al", "Ti", "Ti", "Al", "Al", "Al", "Er", "Al", "Al", "Ti", "Al", "Ti", "Al", "Er", "Al", "Al", "Al", "Al", "Al", "Al"], "frac_coords": [[0.667, 0.333, 0.125], [0.840, 0.606, 0.837], [0.766, 0.606, 0.163], [0.667, 0.333, 0.625], [0.606, 0.840, 0.663], [0.000, 0.147, 0.250], [0.851, 0.405, 0.750], [0.727, 0.000, 0.250], [0.273, 0.273, 0.250], [0.000, 0.529, 0.096], [0.529, 0.529, 0.904], [0.447, 0.851, 0.250], [0.149, 0.553, 0.750], [0.000, 0.254, 0.028], [0.405, 0.851, 0.750], [0.147, 0.147, 0.750], [0.840, 0.606, 0.663], [0.553, 0.149, 0.750], [0.853, 0.000, 0.750], [0.247, 0.494, 0.500], [0.160, 0.394, 0.163], [0.606, 0.840, 0.837], [0.529, 0.529, 0.596], [0.160, 0.766, 0.663], [0.746, 0.000, 0.972], [0.156, 0.156, 0.116], [0.405, 0.553, 0.250], [0.595, 0.149, 0.250], [0.000, 0.471, 0.904], [0.766, 0.160, 0.837], [0.746, 0.000, 0.528], [0.667, 0.333, 0.875], [0.333, 0.667, 0.375], [0.000, 0.254, 0.472], [0.000, 0.746, 0.528], [0.746, 0.746, 0.028], [0.000, 0.853, 0.750], [0.667, 0.333, 0.375], [0.766, 0.160, 0.663], [0.471, 0.000, 0.904], [0.234, 0.840, 0.337], [0.840, 0.234, 0.163], [0.753, 0.506, 0.000], [0.254, 0.254, 0.972], [0.160, 0.766, 0.837], [0.000, 0.844, 0.116], [0.394, 0.160, 0.163], [0.746, 0.746, 0.472], [0.000, 0.000, 0.000], [0.333, 0.667, 0.625], [0.149, 0.595, 0.250], [0.000, 0.529, 0.404], [0.156, 0.156, 0.384], [0.851, 0.447, 0.250], [0.506, 0.753, 0.000], [0.753, 0.247, 0.000], [0.606, 0.766, 0.337], [0.000, 0.844, 0.384], [0.000, 0.156, 0.884], [0.606, 0.766, 0.163], [0.753, 0.506, 0.500], [0.844, 0.844, 0.616], [0.766, 0.606, 0.337], [0.595, 0.447, 0.750], [0.000, 0.471, 0.596], [0.234, 0.394, 0.663], [0.247, 0.753, 0.000], [0.333, 0.667, 0.875], [0.394, 0.234, 0.837], [0.156, 0.000, 0.884], [0.529, 0.000, 0.404], [0.753, 0.247, 0.500], [0.529, 0.000, 0.096], [0.147, 0.000, 0.250], [0.506, 0.753, 0.500], [0.394, 0.160, 0.337], [0.234, 0.394, 0.837], [0.247, 0.494, 0.000], [0.727, 0.727, 0.750], [0.254, 0.000, 0.028], [0.844, 0.000, 0.384], [0.494, 0.247, 0.500], [0.471, 0.471, 0.096], [0.844, 0.844, 0.884], [0.254, 0.254, 0.528], [0.000, 0.746, 0.972], [0.840, 0.234, 0.337], [0.273, 0.000, 0.750], [0.000, 0.273, 0.750], [0.853, 0.853, 0.250], [0.447, 0.595, 0.750], [0.156, 0.000, 0.616], [0.471, 0.471, 0.404], [0.394, 0.234, 0.663], [0.494, 0.247, 0.000], [0.000, 0.000, 0.500], [0.234, 0.840, 0.163], [0.000, 0.727, 0.250], [0.000, 0.156, 0.616], [0.471, 0.000, 0.596], [0.553, 0.405, 0.250], [0.844, 0.000, 0.116], [0.247, 0.753, 0.500], [0.160, 0.394, 0.337], [0.254, 0.000, 0.472], [0.333, 0.667, 0.125]]}

=====

No. 2
{"formula": "YTaMo2", "functional": "GGA-PBE", "state": "optimized geometry", "spacegroup": "C2/m (12)", "crystal_system": "monoclinic", "rho_g_cm3": 9.72, "energy_ev_per_atom": -9.51, "e_above_lowest_polymorph_mev_per_atom": 286.4, "lattice_angstrom": [[4.601, -0.013, -0.021], [3.520, 2.963, -0.021], [0.779, 0.283, 5.765]], "species": ["Mo", "Y", "Ta", "Mo"], "frac_coords": [[0.016, 0.016, 0.961], [0.250, 0.250, 0.250], [0.750, 0.750, 0.750], [0.484, 0.484, 0.539]]}